DFT (GGA-PBE) results for Sr5Cl after structural relaxation.

Cell lengths 11.1578, 11.1578, 11.1578 Å; angles 90.00, 90.00, 90.00 degrees
With the nearest neighbours (Å) after each atom.
Space group F-43m (No. 216)
Inequivalent atoms, fractional coordinates:
Sr 0.0000 0.0000 0.0000 x4  12 Sr 4.62, 4 Cl 4.83
Sr 0.1262 0.1262 0.6262 x16  6 Sr 3.91-3.98
Cl 0.2500 0.2500 0.2500 x4  16 Sr 4.63-4.83

Values from the calculation:
Energy relative to the elements, uncorrected   -24 meV per atom
Density   2.26 g cm⁻³
Polymorph energy (0 for the lowest one)   2.35 eV per formula unit

DFT (GGA-PBE) results for ErCoSn after structural relaxation.

Cell lengths 7.1869, 4.5634, 7.2948 Å; angles 90.00, 90.00, 90.00 degrees
With the nearest neighbours (Å) after each atom.
Space group Pnma (No. 62)
Inequivalent atoms, fractional coordinates:
Er 0.0222 0.2500 0.2013 x4  4 Co 2.91-3.04, 6 Sn 3.09-3.24
Co 0.1580 0.7500 0.4420 x4  4 Sn 2.61-2.63, 1 Er 2.91
Sn 0.2034 0.2500 0.6085 x4  4 Co 2.61-2.63

Values from the calculation:
Calculated formation energy   -0.4944 eV per atom
Density   9.58 g cm⁻³

| no. | energy (eV/atom) |
| --- | --- |
| 1 | -1.73 |
| 2 | -5.72 |